<A>
A plane-wave DFT calculation with PBE was carried out for a relaxed RbAuS2Cl crystal.

Cell lengths 4.882, 4.882, 5.570 Å; angles 90.00, 90.00, 90.00 degrees
Space group P4/mmm (No. 123)
Unique sites:
Rb: 0.000 0.000 0.000 x1
Au: 0.500 0.500 0.500 x1
S: 0.000 0.500 0.500 x2
Cl: 0.500 0.500 0.000 x1

Properties
- crystal system = tetragonal

<B>
A plane-wave DFT calculation with PBE was carried out for a relaxed RbAuS2Cl crystal.

Cell lengths 6.243, 6.243, 6.010 Å; angles 90.00, 90.00, 90.00 degrees
Space group P4/mmm (No. 123)
Unique sites:
Rb: 0.000 0.000 0.000 x1
Au: 0.500 0.500 0.500 x1
S: 0.000 0.500 0.000 x2
Cl: 0.000 0.000 0.500 x1

Properties
- crystal system = tetragonal

Bottom line: <A>, by a margin of 121.0 kJ/mol of atoms.

<A>
A plane-wave DFT calculation with PBE was carried out for a relaxed Rb2SbAuCl6 crystal.

Cell lengths 7.806, 7.914, 7.985 Å; angles 62.85, 61.27, 89.74 degrees
Space group P1 (No. 1)
Unique sites:
Rb: 0.000 0.000 0.000 x1
Rb: 0.465 0.450 0.039 x1
Sb: 0.767 0.337 0.448 x1
Au: 0.218 0.646 0.430 x1
Cl: 0.060 0.558 0.023 x1
Cl: 0.468 0.130 0.875 x1
Cl: 0.551 0.646 0.303 x1
Cl: 0.630 0.123 0.364 x1
Cl: 0.889 0.649 0.532 x1
Cl: 0.996 0.138 0.524 x1

Properties
- crystal system = triclinic

<B>
A plane-wave DFT calculation with PBE was carried out for a relaxed Rb2SbAuCl6 crystal.

Cell lengths 10.742, 10.742, 10.742 Å; angles 90.00, 90.00, 90.00 degrees
Space group Fm-3m (No. 225)
Unique sites:
Rb: 0.250 0.250 0.250 x8
Sb: 0.000 0.000 0.000 x4
Au: 0.000 0.000 0.500 x4
Cl: 0.000 0.000 0.248 x24

Properties
- crystal system = cubic

Bottom line: <A>, by a margin of 5.9 kJ/mol of atoms.

<A>
A plane-wave DFT calculation with PBE was carried out for a relaxed Rb2ScAuCl6 crystal.

Cell lengths 7.920, 9.816, 7.924 Å; angles 90.00, 90.00, 90.00 degrees
Space group Pmmn (No. 59, origin choice 2)
Unique sites:
Rb: 0.250 0.000 0.248 x4
Sc: 0.250 0.250 0.750 x2
Au: 0.250 0.750 0.749 x2
Cl: 0.029 0.250 0.529 x4
Cl: 0.029 0.250 0.970 x4
Cl: 0.250 0.510 0.752 x4

Properties
- crystal system = orthorhombic

<B>
A plane-wave DFT calculation with PBE was carried out for a relaxed Rb2ScAuCl6 crystal.

Cell lengths 8.108, 8.108, 9.094 Å; angles 90.00, 90.00, 90.00 degrees
Space group I4/mmm (No. 139)
Unique sites:
Rb: 0.000 0.500 0.250 x4
Sc: 0.000 0.000 0.000 x2
Au: 0.000 0.000 0.500 x2
Cl: 0.000 0.000 0.257 x4
Cl: 0.219 0.219 0.000 x8

Properties
- crystal system = tetragonal

Bottom line: <A>, by a margin of 4.5 kJ/mol of atoms.

<A>
A plane-wave DFT calculation with PBE was carried out for a relaxed ReAu3Cl crystal.

Cell lengths 5.051, 5.051, 5.051 Å; angles 90.00, 90.00, 90.00 degrees
Space group Pm-3m (No. 221)
Unique sites:
Re: 0.000 0.000 0.000 x1
Au: 0.000 0.000 0.500 x3
Cl: 0.500 0.500 0.500 x1

Properties
- crystal system = cubic

<B>
A plane-wave DFT calculation with PBE was carried out for a relaxed ReAu3Cl crystal.

Cell lengths 4.888, 4.888, 4.888 Å; angles 90.00, 90.00, 90.00 degrees
Space group Pm-3m (No. 221)
Unique sites:
Re: 0.000 0.000 0.000 x1
Au: 0.000 0.500 0.500 x3
Cl: 0.500 0.500 0.500 x1

Properties
- crystal system = cubic

Bottom line: <A>, by a margin of 50.6 kJ/mol of atoms.

<A>
A plane-wave DFT calculation with PBE was carried out for a relaxed Re2AuCl crystal.

Cell lengths 4.153, 4.153, 17.217 Å; angles 90.00, 90.00, 90.00 degrees
Space group I-42d (No. 122)
Unique sites:
Re: 0.166 0.250 0.125 x8
Au: 0.000 0.000 0.500 x4
Cl: 0.000 0.000 0.000 x4

Properties
- crystal system = tetragonal

<B>
A plane-wave DFT calculation with PBE was carried out for a relaxed Re2AuCl crystal.

Cell lengths 2.890, 2.890, 8.845 Å; angles 90.00, 90.00, 90.00 degrees
Space group P4mm (No. 99)
Unique sites:
Re: 0.000 0.000 0.000 x1
Re: 0.500 0.500 0.185 x1
Au: 0.000 0.000 0.422 x1
Cl: 0.500 0.500 0.797 x1

Properties
- crystal system = tetragonal

<C>
A plane-wave DFT calculation with PBE was carried out for a relaxed Re2AuCl crystal.

Cell lengths 2.983, 2.929, 8.764 Å; angles 90.00, 99.48, 90.00 degrees
Space group Pm (No. 6)
Unique sites:
Re: 0.000 0.000 0.000 x1
Re: 0.414 0.500 0.822 x1
Au: 0.799 0.000 0.583 x1
Cl: 0.109 0.500 0.224 x1

Properties
- crystal system = monoclinic

Bottom line: <C>, by a margin of 10.1 kJ/mol of atoms.

<A>
A plane-wave DFT calculation with PBE was carried out for a relaxed Re2AuCl crystal.

Cell lengths 4.272, 4.272, 7.142 Å; angles 90.00, 90.00, 90.00 degrees
Space group I-4m2 (No. 119)
Unique sites:
Re: 0.000 0.000 0.000 x2
Re: 0.000 0.500 0.250 x2
Au: 0.000 0.500 0.750 x2
Cl: 0.000 0.000 0.500 x2

Properties
- crystal system = tetragonal

<B>
A plane-wave DFT calculation with PBE was carried out for a relaxed Re2AuCl crystal.

Cell lengths 3.043, 3.043, 6.566 Å; angles 90.00, 90.00, 90.00 degrees
Space group P4/mmm (No. 123)
Unique sites:
Re: 0.000 0.000 0.223 x2
Au: 0.500 0.500 0.500 x1
Cl: 0.500 0.500 0.000 x1

Properties
- crystal system = tetragonal

<C>
A plane-wave DFT calculation with PBE was carried out for a relaxed Re2AuCl crystal.

Cell lengths 2.774, 4.821, 4.959 Å; angles 90.00, 90.00, 90.00 degrees
Space group Pmmm (No. 47)
Unique sites:
Re: 0.000 0.000 0.000 x1
Re: 0.500 0.000 0.500 x1
Au: 0.000 0.500 0.500 x1
Cl: 0.500 0.500 0.000 x1

Properties
- crystal system = orthorhombic

Bottom line: <C>, by a margin of 4.7 kJ/mol of atoms.

<A>
A plane-wave DFT calculation with PBE was carried out for a relaxed Re2AuCl crystal.

Cell lengths 2.941, 3.919, 6.155 Å; angles 90.00, 90.00, 90.00 degrees
Space group Pmmm (No. 47)
Unique sites:
Re: 0.000 0.000 0.198 x2
Au: 0.500 0.500 0.000 x1
Cl: 0.000 0.500 0.500 x1

Properties
- crystal system = orthorhombic

<B>
A plane-wave DFT calculation with PBE was carried out for a relaxed Re2AuCl crystal.

Cell lengths 2.8749, 2.8749, 26.2746 Å; angles 90.00, 90.00, 120.00 degrees
Space group R-3m (No. 166, hexagonal axes)
Unique sites:
Re: 0.0000 0.0000 0.2461 x6
Au: 0.0000 0.0000 0.0000 x3
Cl: 0.0000 0.0000 0.5000 x3

Properties
- crystal system = trigonal

<C>
A plane-wave DFT calculation with PBE was carried out for a relaxed Re2AuCl crystal.

Cell lengths 2.8824, 2.8824, 28.8825 Å; angles 90.00, 90.00, 120.00 degrees
Space group R3m (No. 160, hexagonal axes)
Unique sites:
Re: 0.0000 0.0000 0.0000 x3
Re: 0.0000 0.0000 0.2624 x3
Au: 0.0000 0.0000 0.5107 x3
Cl: 0.0000 0.0000 0.7333 x3

Properties
- crystal system = trigonal

Bottom line: <C>, by a margin of 56.2 kJ/mol of atoms.

<A>
A plane-wave DFT calculation with PBE was carried out for a relaxed Re2AuCl crystal.

Cell lengths 2.770, 4.965, 9.440 Å; angles 90.00, 90.00, 90.00 degrees
Space group Cmmm (No. 65)
Unique sites:
Re: 0.000 0.000 0.237 x4
Au: 0.000 0.500 0.500 x2
Cl: 0.000 0.500 0.000 x2

Properties
- crystal system = orthorhombic

<B>
A plane-wave DFT calculation with PBE was carried out for a relaxed Re2AuCl crystal.

Cell lengths 10.831, 2.788, 5.077 Å; angles 90.00, 114.96, 90.00 degrees
Space group Cm (No. 8)
Unique sites:
Re: 0.000 0.000 0.000 x2
Re: 0.210 0.500 0.082 x2
Au: 0.466 0.000 0.471 x2
Cl: 0.270 0.000 0.767 x2

Properties
- crystal system = monoclinic

<C>
A plane-wave DFT calculation with PBE was carried out for a relaxed Re2AuCl crystal.

Cell lengths 3.933, 3.933, 4.275 Å; angles 90.00, 90.00, 90.00 degrees
Space group P4/mmm (No. 123)
Unique sites:
Re: 0.000 0.500 0.000 x2
Au: 0.000 0.000 0.500 x1
Cl: 0.500 0.500 0.500 x1

Properties
- crystal system = tetragonal

<D>
A plane-wave DFT calculation with PBE was carried out for a relaxed Re2AuCl crystal.

Cell lengths 2.762, 2.762, 8.438 Å; angles 90.00, 90.00, 90.00 degrees
Space group P4/mmm (No. 123)
Unique sites:
Re: 0.000 0.000 0.249 x2
Au: 0.500 0.500 0.500 x1
Cl: 0.500 0.500 0.000 x1

Properties
- crystal system = tetragonal

Bottom line: <B>, by a margin of 16.2 kJ/mol of atoms.

<A>
A plane-wave DFT calculation with PBE was carried out for a relaxed Rh3AuCl crystal.

Cell lengths 4.400, 4.400, 4.400 Å; angles 90.00, 90.00, 90.00 degrees
Space group Pm-3m (No. 221)
Unique sites:
Rh: 0.000 0.000 0.500 x3
Au: 0.500 0.500 0.500 x1
Cl: 0.000 0.000 0.000 x1

Properties
- crystal system = cubic

<B>
A plane-wave DFT calculation with PBE was carried out for a relaxed Rh3AuCl crystal.

Cell lengths 4.968, 4.968, 4.968 Å; angles 90.00, 90.00, 90.00 degrees
Space group Pm-3m (No. 221)
Unique sites:
Rh: 0.000 0.000 0.500 x3
Au: 0.000 0.000 0.000 x1
Cl: 0.500 0.500 0.500 x1

Properties
- crystal system = cubic

Bottom line: <A>, by a margin of 88.8 kJ/mol of atoms.

<A>
A plane-wave DFT calculation with PBE was carried out for a relaxed RhAuCl crystal.

Cell lengths 2.883, 6.454, 12.322 Å; angles 90.00, 90.00, 90.00 degrees
Space group Imma (No. 74)
Unique sites:
Rh: 0.000 0.000 0.000 x4
Au: 0.000 0.250 0.348 x4
Cl: 0.000 0.250 0.871 x4

Properties
- crystal system = orthorhombic

<B>
A plane-wave DFT calculation with PBE was carried out for a relaxed RhAuCl crystal.

Cell lengths 5.415, 4.682, 6.167 Å; angles 90.00, 115.11, 90.00 degrees
Space group P2_1 (No. 4)
Unique sites:
Rh: 0.104 0.000 0.001 x2
Au: 0.368 0.503 0.956 x2
Cl: 0.189 0.738 0.358 x2

Properties
- crystal system = monoclinic

Bottom line: <A>, by a margin of 10.4 kJ/mol of atoms.